# SrAs2Os, optimized geometry, DFT PBE-GGA
# ΔE_f = -0.114 eV/atom
# Crystal system = orthorhombic
# DFT total energy = -5.6670 eV/atom
# Density of states at the Fermi level = 4.123 states/eV per cell
data_SrAs2Os
_chemical_formula_sum 'Sr2 As4 Os2'
_cell_length_a 3.3452
_cell_length_b 3.6454
_cell_length_c 14.0747
_cell_angle_alpha 90.00
_cell_angle_beta 90.00
_cell_angle_gamma 90.00
_space_group_name_H-M_alt 'I m m 2'
_space_group_IT_number 44
loop_
_space_group_symop_operation_xyz
'x,y,z'
'-x,-y,z'
'-x,y,z'
'x,-y,z'
'x+1/2,y+1/2,z+1/2'
'-x+1/2,-y+1/2,z+1/2'
'-x+1/2,y+1/2,z+1/2'
'x+1/2,-y+1/2,z+1/2'
loop_
_atom_site_label
_atom_site_fract_x
_atom_site_fract_y
_atom_site_fract_z
_atom_site_occupancy
Sr1 0.0000 0.0000 0.0000 1
As1 0.0000 0.0000 0.6297 1
As2 0.0000 0.5000 0.3185 1
Os1 0.0000 0.5000 0.7455 1

=====

# SrTaAsOs2, optimized geometry, DFT PBE-GGA
# ΔE_f = 0.928 eV/atom
# Crystal system = tetragonal
# DFT total energy = -7.2009 eV/atom
# Density of states at the Fermi level = 6.371 states/eV per cell
data_SrTaAsOs2
_chemical_formula_sum 'Sr1 Ta1 As1 Os2'
_cell_length_a 4.8916
_cell_length_b 4.8916
_cell_length_c 5.0055
_cell_angle_alpha 90.00
_cell_angle_beta 90.00
_cell_angle_gamma 90.00
_space_group_name_H-M_alt 'P 4/m m m'
_space_group_IT_number 123
_space_group_name_Hall '-P 4 2'
loop_
_atom_site_label
_atom_site_fract_x
_atom_site_fract_y
_atom_site_fract_z
_atom_site_occupancy
Sr1 0.0000 0.0000 0.0000 1
Ta1 0.5000 0.5000 0.5000 1
As1 0.5000 0.5000 0.0000 1
Os1 0.0000 0.5000 0.5000 1

=====

# Ta3AsOs, optimized geometry, DFT PBE-GGA
# ΔE_f = 1.137 eV/atom
# Crystal system = cubic
# DFT total energy = -9.1507 eV/atom
# Density of states at the Fermi level = 5.080 states/eV per cell
data_Ta3AsOs
_chemical_formula_sum 'Ta3 As1 Os1'
_cell_length_a 4.8563
_cell_length_b 4.8563
_cell_length_c 4.8563
_cell_angle_alpha 90.00
_cell_angle_beta 90.00
_cell_angle_gamma 90.00
_space_group_name_H-M_alt 'P m -3 m'
_space_group_IT_number 221
_space_group_name_Hall '-P 4 2 3'
loop_
_atom_site_label
_atom_site_fract_x
_atom_site_fract_y
_atom_site_fract_z
_atom_site_occupancy
Ta1 0.0000 0.0000 0.5000 1
As1 0.5000 0.5000 0.5000 1
Os1 0.0000 0.0000 0.0000 1

=====

# TaAs3Os, optimized geometry, DFT PBE-GGA
# ΔE_f = 1.214 eV/atom
# Crystal system = cubic
# DFT total energy = -6.1917 eV/atom
# Density of states at the Fermi level = 6.845 states/eV per cell
data_TaAs3Os
_chemical_formula_sum 'Ta1 As3 Os1'
_cell_length_a 4.7708
_cell_length_b 4.7708
_cell_length_c 4.7708
_cell_angle_alpha 90.00
_cell_angle_beta 90.00
_cell_angle_gamma 90.00
_space_group_name_H-M_alt 'P m -3 m'
_space_group_IT_number 221
_space_group_name_Hall '-P 4 2 3'
loop_
_atom_site_label
_atom_site_fract_x
_atom_site_fract_y
_atom_site_fract_z
_atom_site_occupancy
Ta1 0.0000 0.0000 0.0000 1
As1 0.0000 0.5000 0.5000 1
Os1 0.5000 0.5000 0.5000 1

=====

# TaAsOs4, optimized geometry, DFT PBE-GGA
# ΔE_f = 0.563 eV/atom
# Crystal system = cubic
# DFT total energy = -9.6737 eV/atom
# Density of states at the Fermi level = 21.117 states/eV per cell
data_TaAsOs4
_chemical_formula_sum 'Ta4 As4 Os16'
_cell_length_a 7.3289
_cell_length_b 7.3289
_cell_length_c 7.3289
_cell_angle_alpha 90.00
_cell_angle_beta 90.00
_cell_angle_gamma 90.00
_space_group_name_H-M_alt 'F -4 3 m'
_space_group_IT_number 216
_space_group_name_Hall 'F -4 2 3'
loop_
_atom_site_label
_atom_site_fract_x
_atom_site_fract_y
_atom_site_fract_z
_atom_site_occupancy
Ta1 0.0000 0.0000 0.0000 1
As1 0.2500 0.2500 0.7500 1
Os1 0.1249 0.1249 0.3751 1

=====

# Ta2As2Os, optimized geometry, DFT PBE-GGA
# ΔE_f = 0.092 eV/atom
# Crystal system = tetragonal
# DFT total energy = -8.7548 eV/atom
# Density of states at the Fermi level = 10.346 states/eV per cell
data_Ta2As2Os
_chemical_formula_sum 'Ta4 As4 Os2'
_cell_length_a 7.0078
_cell_length_b 7.0078
_cell_length_c 3.3360
_cell_angle_alpha 90.00
_cell_angle_beta 90.00
_cell_angle_gamma 90.00
_space_group_name_H-M_alt 'P 4/m b m'
_space_group_IT_number 127
_space_group_name_Hall '-P 4 2ab'
loop_
_atom_site_label
_atom_site_fract_x
_atom_site_fract_y
_atom_site_fract_z
_atom_site_occupancy
Ta1 0.1462 0.3538 0.0000 1
As1 0.1534 0.6534 0.5000 1
Os1 0.0000 0.0000 0.5000 1

=====

# TaAs3Os, optimized geometry, DFT PBE-GGA
# ΔE_f = 1.357 eV/atom
# Crystal system = cubic
# DFT total energy = -6.0496 eV/atom
# Density of states at the Fermi level = 6.879 states/eV per cell
data_TaAs3Os
_chemical_formula_sum 'Ta1 As3 Os1'
_cell_length_a 4.9219
_cell_length_b 4.9219
_cell_length_c 4.9219
_cell_angle_alpha 90.00
_cell_angle_beta 90.00
_cell_angle_gamma 90.00
_space_group_name_H-M_alt 'P m -3 m'
_space_group_IT_number 221
_space_group_name_Hall '-P 4 2 3'
loop_
_atom_site_label
_atom_site_fract_x
_atom_site_fract_y
_atom_site_fract_z
_atom_site_occupancy
Ta1 0.0000 0.0000 0.0000 1
As1 0.0000 0.0000 0.5000 1
Os1 0.5000 0.5000 0.5000 1

=====

# Ta3AsOs, optimized geometry, DFT PBE-GGA
# ΔE_f = 1.167 eV/atom
# Crystal system = cubic
# DFT total energy = -9.1206 eV/atom
# Density of states at the Fermi level = 3.705 states/eV per cell
data_Ta3AsOs
_chemical_formula_sum 'Ta3 As1 Os1'
_cell_length_a 4.6306
_cell_length_b 4.6306
_cell_length_c 4.6306
_cell_angle_alpha 90.00
_cell_angle_beta 90.00
_cell_angle_gamma 90.00
_space_group_name_H-M_alt 'P m -3 m'
_space_group_IT_number 221
_space_group_name_Hall '-P 4 2 3'
loop_
_atom_site_label
_atom_site_fract_x
_atom_site_fract_y
_atom_site_fract_z
_atom_site_occupancy
Ta1 0.0000 0.0000 0.5000 1
As1 0.0000 0.0000 0.0000 1
Os1 0.5000 0.5000 0.5000 1

=====

# TaAs4Os, optimized geometry, DFT PBE-GGA
# ΔE_f = 0.996 eV/atom
# Crystal system = cubic
# DFT total energy = -5.9510 eV/atom
# Density of states at the Fermi level = 25.127 states/eV per cell
data_TaAs4Os
_chemical_formula_sum 'Ta4 As16 Os4'
_cell_length_a 7.4935
_cell_length_b 7.4935
_cell_length_c 7.4935
_cell_angle_alpha 90.00
_cell_angle_beta 90.00
_cell_angle_gamma 90.00
_space_group_name_H-M_alt 'F -4 3 m'
_space_group_IT_number 216
_space_group_name_Hall 'F -4 2 3'
loop_
_atom_site_label
_atom_site_fract_x
_atom_site_fract_y
_atom_site_fract_z
_atom_site_occupancy
Ta1 0.0000 0.0000 0.0000 1
As1 0.1251 0.1251 0.6251 1
Os1 0.2500 0.2500 0.2500 1

=====

# TaTl2AsOs, optimized geometry, DFT PBE-GGA
# ΔE_f = 0.991 eV/atom
# Crystal system = tetragonal
# DFT total energy = -5.5018 eV/atom
# Density of states at the Fermi level = 3.613 states/eV per cell
data_TaTl2AsOs
_chemical_formula_sum 'Ta1 Tl2 As1 Os1'
_cell_length_a 5.2076
_cell_length_b 5.2076
_cell_length_c 4.8836
_cell_angle_alpha 90.00
_cell_angle_beta 90.00
_cell_angle_gamma 90.00
_space_group_name_H-M_alt 'P 4/m m m'
_space_group_IT_number 123
_space_group_name_Hall '-P 4 2'
loop_
_atom_site_label
_atom_site_fract_x
_atom_site_fract_y
_atom_site_fract_z
_atom_site_occupancy
Ta1 0.0000 0.0000 0.0000 1
Tl1 0.0000 0.5000 0.5000 1
As1 0.5000 0.5000 0.0000 1
Os1 0.0000 0.0000 0.5000 1

=====

# TcAsOs2, optimized geometry, DFT PBE-GGA
# ΔE_f = 0.200 eV/atom
# Crystal system = tetragonal
# DFT total energy = -9.1686 eV/atom
# Density of states at the Fermi level = 1.848 states/eV per cell
data_TcAsOs2
_chemical_formula_sum 'Tc1 As1 Os2'
_cell_length_a 2.9036
_cell_length_b 2.9036
_cell_length_c 6.8236
_cell_angle_alpha 90.00
_cell_angle_beta 90.00
_cell_angle_gamma 90.00
_space_group_name_H-M_alt 'P 4 m m'
_space_group_IT_number 99
loop_
_space_group_symop_operation_xyz
'x,y,z'
'-y,x,z'
'-x,-y,z'
'y,-x,z'
'-x,y,z'
'y,x,z'
'x,-y,z'
'-y,-x,z'
loop_
_atom_site_label
_atom_site_fract_x
_atom_site_fract_y
_atom_site_fract_z
_atom_site_occupancy
Tc1 0.0000 0.0000 0.0000 1
As1 0.5000 0.5000 0.2360 1
Os1 0.0000 0.0000 0.4666 1
Os2 0.5000 0.5000 0.7408 1

=====

# TcAsOs2, optimized geometry, DFT PBE-GGA
# ΔE_f = 0.549 eV/atom
# Crystal system = tetragonal
# DFT total energy = -8.8194 eV/atom
# Density of states at the Fermi level = 5.424 states/eV per cell
data_TcAsOs2
_chemical_formula_sum 'Tc1 As1 Os2'
_cell_length_a 4.5061
_cell_length_b 4.5061
_cell_length_c 2.9222
_cell_angle_alpha 90.00
_cell_angle_beta 90.00
_cell_angle_gamma 90.00
_space_group_name_H-M_alt 'P 4/m m m'
_space_group_IT_number 123
_space_group_name_Hall '-P 4 2'
loop_
_atom_site_label
_atom_site_fract_x
_atom_site_fract_y
_atom_site_fract_z
_atom_site_occupancy
Tc1 0.0000 0.0000 0.0000 1
As1 0.5000 0.5000 0.0000 1
Os1 0.0000 0.5000 0.5000 1